The following is a DFT calculation (PBE+U) of crystalline CrPbIO2 at its relaxed geometry.

offset from the most stable computed form: 0 meV/atom
magnetic moment: 0.70 μB/atom
density of states at the Fermi level: 0.39 states/eV per atom

a b c (Å): 4.350 4.350 5.399
angles (deg): 90.00 90.00 90.00
Atoms (fractional coordinates):
I 0.000 0.000 0.500
O 0.500 0.000 0.000
O 0.000 0.500 0.000
Cr 0.000 0.000 0.000
Pb 0.500 0.500 0.500